Record 1
## LiSbTe2 (PBEsol)

Data for an optimized crystal structure of LiSbTe2.

Lattice parameters (Å, degrees): 3.4299 3.4299 30.2533 90.00 90.00 120.00
Space group R-3m (No. 166, hexagonal axes)
Asymmetric unit:
Li (0.0000, 0.0000, 0.0000)
Sb (0.0000, 0.0000, 0.5000)
Te (0.0000, 0.0000, 0.4006)

Properties
VASP energy	-3.571	eV per atom
D(E_F)	6.7	states/eV/cell
spin magnetization	0.00	μB per formula unit
ΔE_f (raw)	-0.177	eV/atom

---

Record 2
## TiMo2RuPb (PBEsol)

Data for an optimized crystal structure of TiMo2RuPb.

Lattice parameters (Å, degrees): 4.4211 4.4211 5.0304 90.00 90.00 90.00
Space group P4/mmm (No. 123)
Asymmetric unit:
Ti (0.0000, 0.0000, 0.0000)
Mo (0.0000, 0.5000, 0.0000)
Ru (0.5000, 0.5000, 0.5000)
Pb (0.0000, 0.0000, 0.5000)

Properties
VASP energy	-7.402	eV per atom
D(E_F)	7.8	states/eV/cell
spin magnetization	0.44	μB per formula unit
formation enthalpy at 0 K	9.02	eV per formula unit

---

Record 3
## HfRe2 (PBEsol)

Data for an optimized crystal structure of HfRe2.

Lattice parameters (Å, degrees): 5.2216 5.2216 8.5508 90.00 90.00 120.00
Space group P6_3/mmc (No. 194)
Asymmetric unit:
Hf (0.3333, 0.6667, 0.0617)
Re (0.0000, 0.0000, 0.0000)
Re (0.1717, 0.3433, 0.7500)

Properties
VASP energy	-12.775	eV per atom
D(E_F)	9.7	states/eV/cell
spin magnetization	0.00	μB per formula unit
formation enthalpy at 0 K	-1.16	eV per formula unit

---

Record 4
## CaMn2Zn2 (PBEsol)

Data for an optimized crystal structure of CaMn2Zn2.

Lattice parameters (Å, degrees): 4.3422 4.3422 8.7301 90.00 90.00 90.00
Space group I4/mmm (No. 139)
Asymmetric unit:
Ca (0.0000, 0.0000, 0.0000)
Mn (0.0000, 0.0000, 0.3914)
Zn (0.0000, 0.5000, 0.2500)

Properties
VASP energy	-4.614	eV per atom
D(E_F)	10.0	states/eV/cell
spin magnetization	1.74	μB per formula unit
formation enthalpy at 0 K	1.75	eV per formula unit

---

Record 5
## CaZrSn2H (PBEsol)

Data for an optimized crystal structure of CaZrSn2H.

Lattice parameters (Å, degrees): 5.4461 5.4461 5.9389 90.00 90.00 90.00
Space group P4/mmm (No. 123)
Asymmetric unit:
Ca (0.0000, 0.0000, 0.0000)
Zr (0.0000, 0.0000, 0.5000)
Sn (0.0000, 0.5000, 0.5000)
H (0.5000, 0.5000, 0.0000)

Properties
VASP energy	-3.765	eV per atom
D(E_F)	3.1	states/eV/cell
spin magnetization	1.10	μB per formula unit

---

Record 6
## CaCuHg2Ru (PBEsol)

Data for an optimized crystal structure of CaCuHg2Ru.

Lattice parameters (Å, degrees): 5.3276 5.3276 4.7393 90.00 90.00 90.00
Space group P4/mmm (No. 123)
Asymmetric unit:
Ca (0.0000, 0.0000, 0.0000)
Cu (0.0000, 0.0000, 0.5000)
Hg (0.0000, 0.5000, 0.0000)
Ru (0.5000, 0.5000, 0.5000)

Properties
VASP energy	-1.928	eV per atom
D(E_F)	3.4	states/eV/cell
spin magnetization	2.65	μB per formula unit
formation enthalpy at 0 K	8.13	eV per formula unit

---

Record 7
## SmGe4Rh6 (PBEsol)

Data for an optimized crystal structure of SmGe4Rh6.

Lattice parameters (Å, degrees): 7.1074 7.1074 3.8197 90.00 90.00 120.00
Space group P-6m2 (No. 187)
Asymmetric unit:
Sm (0.0000, 0.0000, 0.0000)
Ge (0.1977, 0.3954, 0.5000)
Ge (0.6667, 0.3333, 0.0000)
Rh (0.0666, 0.5333, 0.0000)
Rh (0.4004, 0.2002, 0.5000)

Properties
VASP energy	-7.474	eV per atom
D(E_F)	4.3	states/eV/cell
spin magnetization	0.00	μB per formula unit
formation enthalpy at 0 K	-8.53	eV per formula unit

---

Record 8
## TlReMo2 (PBEsol)

Data for an optimized crystal structure of TlReMo2.

Lattice parameters (Å, degrees): 3.2575 4.4402 9.0501 90.00 90.00 90.00
Space group Immm (No. 71)
Asymmetric unit:
Tl (0.0000, 0.0000, 0.0000)
Re (0.0000, 0.0000, 0.5000)
Mo (0.0000, 0.5000, 0.2376)

Properties
VASP energy	-9.279	eV per atom
D(E_F)	6.7	states/eV/cell
spin magnetization	0.00	μB per formula unit
formation enthalpy at 0 K	2.38	eV per formula unit
excess energy over the best structure of this formula in the dataset	150	meV/atom

---

Record 9
## NiMo2Ru (PBEsol)

Data for an optimized crystal structure of NiMo2Ru.

Lattice parameters (Å, degrees): 2.6907 2.6907 26.2653 90.00 90.00 120.00
Space group R-3m (No. 166, hexagonal axes)
Asymmetric unit:
Ni (0.0000, 0.0000, 0.0000)
Mo (0.0000, 0.0000, 0.2515)
Ru (0.0000, 0.0000, 0.5000)

Properties
VASP energy	-9.804	eV per atom
D(E_F)	9.6	states/eV/cell
spin magnetization	0.00	μB per formula unit
formation enthalpy at 0 K	0.65	eV per formula unit

---

Record 10
## Al2TeO (PBEsol)

Data for an optimized crystal structure of Al2TeO.

Lattice parameters (Å, degrees): 6.4116 6.4116 6.4116 90.00 90.00 90.00
Space group Fm-3m (No. 225)
Asymmetric unit:
Al (0.2500, 0.2500, 0.2500)
Te (0.0000, 0.0000, 0.0000)
O (0.0000, 0.0000, 0.5000)

Properties
VASP energy	-4.266	eV per atom
D(E_F)	5.1	states/eV/cell
spin magnetization	0.00	μB per formula unit
ΔE_f (raw)	-0.026	eV/atom

---

Record 11
## La2NiIrO6 (PBEsol)

Data for an optimized crystal structure of La2NiIrO6.

Lattice parameters (Å, degrees): 5.4514 5.7158 9.4683 90.00 125.05 90.00
Space group P2_1/c (No. 14)
Asymmetric unit:
La (0.2338, 0.0618, 0.2496)
Ni (0.0000, 0.0000, 0.5000)
Ir (0.5000, 0.0000, 0.0000)
O (0.1511, 0.2013, 0.9537)
O (0.2592, 0.7037, 0.9531)
O (0.3385, 0.0218, 0.7481)

Properties
VASP energy	-7.946	eV per atom
D(E_F)	17.0	states/eV/cell
spin magnetization	1.48	μB per formula unit
ΔE_f (raw)	-2.129	eV/atom

---

Record 12
## Rb2ErCuCl6 (PBEsol)

Data for an optimized crystal structure of Rb2ErCuCl6.

Lattice parameters (Å, degrees): 10.1133 10.1133 10.1133 90.00 90.00 90.00
Space group Fm-3m (No. 225)
Asymmetric unit:
Rb (0.2500, 0.2500, 0.2500)
Er (0.0000, 0.0000, 0.0000)
Cu (0.0000, 0.0000, 0.5000)
Cl (0.0000, 0.0000, 0.2548)

Properties
VASP energy	-4.109	eV per atom
D(E_F)	0.0	states/eV/cell
spin magnetization	0.03	μB per formula unit
ΔE_f (raw)	-1.773	eV/atom

---

Question: Number 5 is which compound?
Answer: CaZrSn2H

---

Question: Which value of D(E_F) does entry 10 give?
Answer: 5.1 states/eV/cell

---

Question: What is the D(E_F) in the fourth record?
Answer: 10.0 states/eV/cell